1.
A plane-wave DFT calculation with PBE was carried out for a geometry-optimized TbPr2PuS4 structure.

POSCAR file:
```
TbPr2PuS4
1.0
6.957 0.000 0.000
0.000 4.000 0.000
-2.297 0.000 6.622
Tb Pr Pu S
1 2 1 4
Direct
0.000 0.000 0.000
0.000 0.500 0.500
0.500 0.000 0.500
0.500 0.500 0.000
0.244 0.500 0.235
0.254 0.000 0.764
0.746 0.000 0.236
0.756 0.500 0.765
```

## Properties
* SG: P2/m
* raw formation energy: -1970 meV/atom


2.
A plane-wave DFT calculation with PBE was carried out for a geometry-optimized TbPr2NdY structure.

POSCAR file:
```
TbPr2NdY
1.0
8.220 0.000 0.000
0.000 6.879 0.000
-0.011 0.000 6.273
Tb Pr Nd Y
2 4 2 2
Direct
0.000 0.157 0.250
0.000 0.843 0.750
0.196 0.307 0.751
0.196 0.693 0.251
0.804 0.307 0.749
0.804 0.693 0.249
0.500 0.000 0.000
0.500 0.000 0.500
0.500 0.416 0.250
0.500 0.584 0.750
```

## Properties
* formation energy from the elements: 263 meV per atom
* SG: P2/c


3.
A plane-wave DFT calculation with PBE was carried out for a geometry-optimized Tl2Sb structure.

POSCAR file:
```
Tl2Sb
1.0
6.125 -2.051 0.000
6.125 2.051 0.000
-2.234 0.000 7.502
Tl Sb
4 2
Direct
0.012 0.012 0.236
0.330 0.330 0.394
0.670 0.670 0.606
0.988 0.988 0.764
0.322 0.322 0.942
0.678 0.678 0.058
```

## Properties
* SG: C2/m
* raw formation energy: 3 meV/atom
* energy above the most stable polymorph in this dataset: 2.1 kJ per mole of atoms


4.
A plane-wave DFT calculation with PBE was carried out for a geometry-optimized RbUTl2Se6 structure.

POSCAR file:
```
RbUTl2Se6
1.0
7.616 0.000 0.000
0.000 7.552 0.000
-6.794 0.000 11.813
Rb U Tl Se
2 2 4 12
Direct
0.000 0.000 0.000
0.000 0.500 0.500
0.500 0.000 0.500
0.500 0.500 0.000
0.177 0.020 0.736
0.177 0.480 0.236
0.823 0.520 0.764
0.823 0.980 0.264
0.189 0.111 0.285
0.189 0.389 0.785
0.244 0.611 0.066
0.244 0.889 0.566
0.485 0.682 0.418
0.485 0.818 0.918
0.515 0.182 0.082
0.515 0.318 0.582
0.756 0.111 0.434
0.756 0.389 0.934
0.811 0.611 0.215
0.811 0.889 0.715
```

## Properties
* SG: P2_1/c
* raw formation energy: -592 meV/atom


5.
A plane-wave DFT calculation with PBE was carried out for a geometry-optimized La3YAu structure.

POSCAR file:
```
La3YAu
1.0
5.778 0.000 0.000
0.000 5.778 0.000
0.000 0.000 5.778
La Y Au
3 1 1
Direct
0.000 0.000 0.500
0.000 0.500 0.000
0.500 0.000 0.000
0.000 0.000 0.000
0.500 0.500 0.500
```

## Properties
* formation energy from the elements: 643 meV per atom
* SG: Pm-3m
* energy above the most stable polymorph in this dataset: 60.1 kJ per mole of atoms


6.
A plane-wave DFT calculation with PBE was carried out for a geometry-optimized InAsI2 structure.

POSCAR file:
```
InAsI2
1.0
-3.174 3.174 8.980
3.174 -3.174 8.980
3.174 3.174 -8.980
In As I
2 2 4
Direct
0.000 0.000 0.000
0.750 0.250 0.500
0.250 0.750 0.500
0.500 0.500 0.000
0.204 0.625 0.079
0.375 0.454 0.579
0.546 0.125 0.921
0.875 0.796 0.421
```

## Properties
* SG: I-42d
* raw formation energy: 179 meV/atom
* energy above the most stable polymorph in this dataset: 0.0 kJ per mole of atoms


7.
A plane-wave DFT calculation with PBE was carried out for a geometry-optimized PrAlCd2 structure.

POSCAR file:
```
PrAlCd2
1.0
7.031 0.000 0.000
0.000 2.450 5.559
0.000 -2.450 5.559
Pr Al Cd
2 2 4
Direct
0.000 0.000 0.000
0.500 0.199 0.199
0.193 0.720 0.720
0.807 0.720 0.720
0.000 0.292 0.292
0.298 0.485 0.485
0.500 0.897 0.897
0.702 0.485 0.485
```

## Properties
* formation energy from the elements: -319 meV per atom
* SG: Amm2


8.
A plane-wave DFT calculation with PBE was carried out for a geometry-optimized Sm4Ag2Ru structure.

POSCAR file:
```
Sm4Ag2Ru
1.0
2.562 1.479 8.326
-2.562 1.479 8.326
0.000 -2.958 8.326
Sm Ag Ru
4 2 1
Direct
0.119 0.119 0.119
0.371 0.371 0.371
0.629 0.629 0.629
0.881 0.881 0.881
0.247 0.247 0.247
0.753 0.753 0.753
0.000 0.000 0.000
```

## Properties
* formation energy from the elements: -147 meV per atom
* SG: R-3m


9.
A plane-wave DFT calculation with PBE was carried out for a geometry-optimized KSmBr3 structure.

POSCAR file:
```
KSmBr3
1.0
9.594 0.000 0.000
0.000 4.106 0.000
0.000 0.000 16.711
K Sm Br
4 4 12
Direct
0.076 0.250 0.181
0.424 0.750 0.681
0.576 0.250 0.319
0.924 0.750 0.819
0.139 0.750 0.457
0.361 0.250 0.957
0.639 0.750 0.043
0.861 0.250 0.543
0.039 0.750 0.627
0.163 0.750 0.017
0.212 0.250 0.803
0.288 0.750 0.303
0.337 0.250 0.517
0.461 0.250 0.127
0.539 0.750 0.873
0.663 0.750 0.483
0.712 0.250 0.697
0.788 0.750 0.197
0.837 0.250 0.983
0.961 0.250 0.373
```

## Properties
* SG: Pnma
* raw formation energy: -1670 meV/atom


10.
A plane-wave DFT calculation with PBE was carried out for a geometry-optimized BC2 structure.

POSCAR file:
```
BC2
1.0
3.821 0.000 0.000
0.000 2.558 0.000
-0.006 0.000 7.993
B C
4 8
Direct
0.000 0.000 0.000
0.004 0.000 0.674
0.435 0.500 0.138
0.777 0.500 0.373
0.012 0.000 0.341
0.230 0.000 0.186
0.244 0.000 0.506
0.247 0.000 0.835
0.479 0.500 0.512
0.485 0.500 0.835
0.705 0.500 0.671
0.714 0.500 0.995
```

## Properties
* formation energy from the elements: 328 meV per atom
* SG: Pm
* energy above the most stable polymorph in this dataset: 8.5 kJ per mole of atoms


11.
A plane-wave DFT calculation with PBE was carried out for a geometry-optimized LiTaRu structure.

POSCAR file:
```
LiTaRu
1.0
-1.629 1.629 4.222
1.629 -1.629 4.222
1.629 1.629 -4.222
Li Ta Ru
1 1 1
Direct
0.000 0.000 0.000
0.684 0.684 0.000
0.339 0.339 0.000
```

## Properties
* formation energy from the elements: 18 meV per atom
* SG: I4mm
* energy above the most stable polymorph in this dataset: 1.8 kJ per mole of atoms


12.
A plane-wave DFT calculation with PBE was carried out for a geometry-optimized Pm2LuSb structure.

POSCAR file:
```
Pm2LuSb
1.0
4.213 0.000 0.000
0.000 4.213 0.000
0.000 0.000 6.721
Pm Lu Sb
2 1 1
Direct
0.000 0.000 0.236
0.000 0.000 0.764
0.500 0.500 0.500
0.500 0.500 0.000
```

## Properties
* SG: P4/mmm
* raw formation energy: -515 meV/atom
* energy above the most stable polymorph in this dataset: 0.0 kJ per mole of atoms